No. 1
{
  "formula": "Y2B2Se",
  "functional": "GGA-PBE",
  "state": "optimized geometry",
  "dos_at_fermi_per_ev_atom": 0.615,
  "polymorph_energy_ev_per_atom": 0.0000,
  "vol_a3_per_fu": 102.95,
  "space_group": "P4/mbm, No. 127",
  "e_form_raw_ev_per_atom": -0.435,
  "magmom_total_mub_per_fu": 0.000,
  "lattice_angstrom": [[7.4268, 0.0000, 0.0000], [0.0000, 7.4268, 0.0000], [0.0000, 0.0000, 3.7330]],
  "species": ["Y", "Y", "Y", "Y", "B", "B", "B", "B", "Se", "Se"],
  "frac_coords": [[0.3207, 0.8207, 0.0000], [0.8207, 0.6793, 0.0000], [0.6793, 0.1793, 0.0000], [0.1793, 0.3207, 0.0000], [0.0743, 0.5743, 0.5000], [0.5743, 0.9257, 0.5000], [0.9257, 0.4257, 0.5000], [0.4257, 0.0743, 0.5000], [0.0000, 0.0000, 0.0000], [0.5000, 0.5000, 0.0000]]
}

***

No. 2
{
  "formula": "YB3Se",
  "functional": "GGA-PBE",
  "state": "optimized geometry",
  "dos_at_fermi_per_ev_atom": 0.546,
  "polymorph_energy_ev_per_atom": 0.9963,
  "vol_a3_per_fu": 110.95,
  "space_group": "Pm-3m, No. 221",
  "e_form_raw_ev_per_atom": 2.280,
  "magmom_total_mub_per_fu": 0.000,
  "lattice_angstrom": [[-4.5202, -1.1428, 1.1626], [1.5137, -4.2148, 1.7419], [0.6055, 2.0048, 4.3248]],
  "species": ["Y", "B", "B", "B", "Se"],
  "frac_coords": [[0.0000, 0.0000, 0.0000], [0.0000, 0.5000, 0.0000], [0.0000, 0.0000, 0.5000], [0.5000, 0.0000, 0.0000], [0.5000, 0.5000, 0.5000]]
}

***

No. 3
{
  "formula": "Y2B2Se",
  "functional": "GGA-PBE",
  "state": "optimized geometry",
  "dos_at_fermi_per_ev_atom": 0.769,
  "polymorph_energy_ev_per_atom": 0.3002,
  "vol_a3_per_fu": 91.96,
  "space_group": "I4/mmm, No. 139",
  "e_form_raw_ev_per_atom": -0.135,
  "magmom_total_mub_per_fu": 0.002,
  "lattice_angstrom": [[3.5007, 0.0000, 0.0000], [0.0000, 3.5007, 0.0000], [1.7504, 1.7504, 7.5039]],
  "species": ["Y", "Y", "B", "B", "Se"],
  "frac_coords": [[0.3771, 0.3771, 0.2459], [0.6229, 0.6229, 0.7541], [0.7500, 0.2500, 0.5000], [0.2500, 0.7500, 0.5000], [0.0000, 0.0000, 0.0000]]
}

***

No. 4
{
  "formula": "Y2BSe",
  "functional": "GGA-PBE",
  "state": "optimized geometry",
  "dos_at_fermi_per_ev_atom": 0.988,
  "polymorph_energy_ev_per_atom": 0.3711,
  "vol_a3_per_fu": 92.56,
  "space_group": "I-42d, No. 122",
  "e_form_raw_ev_per_atom": -0.579,
  "magmom_total_mub_per_fu": 0.000,
  "lattice_angstrom": [[-6.7785, 1.4316, -1.3460], [1.2220, -0.7147, -6.9141], [-3.5886, -3.2612, -3.8991]],
  "species": ["Y", "Y", "Y", "Y", "B", "B", "Se", "Se"],
  "frac_coords": [[0.5824, 0.1250, 0.2500], [0.1676, 0.6250, 0.2500], [0.3750, 0.4176, 0.7500], [0.8750, 0.8324, 0.7500], [0.5000, 0.5000, 0.0000], [0.2500, 0.7500, 0.5000], [0.0000, 0.0000, 0.0000], [0.7500, 0.2500, 0.5000]]
}